1.
Entry from Alexandria via LeMat-Bulk: crystalline Ba3Pu2O7 at its relaxed geometry (PBE-GGA).

For the spin magnetization, the calculation gives 8.0 μB/f.u. For the calculated volume, the calculation gives 224.09 Å³/f.u. The formation energy (no corrections) is -2783 meV per atom.

The structure belongs to space group Cmmm (No. 65); the cell edges are 4.461, 23.200 and 4.331 Å and the angles 90.00°, 90.00° and 90.00°. Symmetry generates all atoms from Ba at (0.000, 0.000, 0.000), Ba at (0.000, 0.179, 0.000), Pu at (0.000, 0.404, 0.500), O at (0.000, 0.096, 0.500), O at (0.000, 0.311, 0.500), O at (0.000, 0.403, 0.000) and O at (0.000, 0.500, 0.500).

***

2.
Entry from Alexandria via LeMat-Bulk: crystalline Ba4PuO5 at its relaxed geometry (PBE-GGA).

For the spin magnetization, the calculation gives 5.7 μB/f.u. For the calculated volume, the calculation gives 208.63 Å³/f.u. The formation energy (no corrections) is -2447 meV per atom.

The structure belongs to space group I4 (No. 79); the cell edges are 8.562, 8.562 and 5.692 Å and the angles 90.00°, 90.00° and 90.00°. Symmetry generates all atoms from Ba at (0.102, 0.299, 0.000), Pu at (0.000, 0.000, 0.475), O at (0.000, 0.000, 0.097) and O at (0.089, 0.266, 0.505).

***

3.
Entry from Alexandria via LeMat-Bulk: crystalline Ba3Pu2O9 at its relaxed geometry (PBE-GGA).

For the spin magnetization, the calculation gives 4.0 μB/f.u. For the calculated volume, the calculation gives 235.43 Å³/f.u. The formation energy (no corrections) is -2625 meV per atom.

The structure belongs to space group R-3c (No. 167, hexagonal axes); the cell edges are 10.5823, 10.5823 and 14.5653 Å and the angles 90.00°, 90.00° and 120.00°. Symmetry generates all atoms from Ba at (0.0002, 0.3333, 0.0833), Pu at (0.0000, 0.0000, 0.1439), O at (0.0000, 0.1465, 0.2500) and O at (0.0056, 0.1735, 0.9144).

***

4.
Entry from Alexandria via LeMat-Bulk: crystalline Ba2PuO6 at its relaxed geometry (PBE-GGA).

For the spin magnetization, the calculation gives 0.0 μB/f.u. For the calculated volume, the calculation gives 168.11 Å³/f.u. Its offset from the most stable computed form is 0.00 kcal/mol of atoms. The formation energy (no corrections) is -2469 meV per atom.

The structure belongs to space group P4/mnc (No. 128); the cell edges are 6.108, 6.108 and 9.013 Å and the angles 90.00°, 90.00° and 90.00°. Symmetry generates all atoms from Ba at (0.000, 0.500, 0.250), Pu at (0.000, 0.000, 0.000), O at (0.000, 0.000, 0.221) and O at (0.147, 0.286, 0.000).

***

5.
Entry from Alexandria via LeMat-Bulk: crystalline BaPu3O8 at its relaxed geometry (PBE-GGA).

For the spin magnetization, the calculation gives 10.0 μB/f.u. For the calculated volume, the calculation gives 272.15 Å³/f.u. Its offset from the most stable computed form is 0.00 kcal/mol of atoms. The formation energy (no corrections) is -2768 meV per atom.

The structure belongs to space group R-3m (No. 166, hexagonal axes); the cell edges are 6.8892, 6.8892 and 19.8633 Å and the angles 90.00°, 90.00° and 120.00°. Symmetry generates all atoms from Ba at (0.0000, 0.0000, 0.0000), Pu at (0.0000, 0.5000, 0.5000), O at (0.0000, 0.0000, 0.2200) and O at (0.0558, 0.5279, 0.7781).

***

6.
Entry from Alexandria via LeMat-Bulk: crystalline Ba3Pu2O8 at its relaxed geometry (PBE-GGA).

For the spin magnetization, the calculation gives 6.0 μB/f.u. For the calculated volume, the calculation gives 263.59 Å³/f.u. The formation energy (no corrections) is -2544 meV per atom.

The structure belongs to space group R-3m (No. 166, hexagonal axes); the cell edges are 6.6659, 6.6659 and 20.5492 Å and the angles 90.00°, 90.00° and 120.00°. Symmetry generates all atoms from Ba at (0.0000, 0.0000, 0.0000), Ba at (0.0000, 0.0000, 0.1965), Pu at (0.0000, 0.0000, 0.4179), O at (0.0000, 0.0000, 0.3229) and O at (0.0144, 0.5072, 0.7683).

***

7.
Entry from Alexandria via LeMat-Bulk: crystalline Ba6PuO12 at its relaxed geometry (PBE-GGA).

For the spin magnetization, the calculation gives 4.0 μB/f.u. For the calculated volume, the calculation gives 391.08 Å³/f.u. The formation energy (no corrections) is -2159 meV per atom.

The structure belongs to space group R-3 (No. 148, hexagonal axes); the cell edges are 11.2397, 11.2397 and 10.7238 Å and the angles 90.00°, 90.00° and 120.00°. Symmetry generates all atoms from Ba at (0.0687, 0.8061, 0.1517), Pu at (0.0000, 0.0000, 0.5000), O at (0.0406, 0.8747, 0.3999) and O at (0.0633, 0.8154, 0.8976).

***

8.
Entry from Alexandria via LeMat-Bulk: crystalline BaPu2O8 at its relaxed geometry (PBE-GGA).

For the spin magnetization, the calculation gives 2.0 μB/f.u. For the calculated volume, the calculation gives 169.70 Å³/f.u. Its offset from the most stable computed form is 4.61 kcal/mol of atoms. The formation energy (no corrections) is -2129 meV per atom.

The structure belongs to space group P4/mmm (No. 123); the cell edges are 5.108, 5.108 and 6.505 Å and the angles 90.00°, 90.00° and 90.00°. Symmetry generates all atoms from Ba at (0.000, 0.000, 0.000), Pu at (0.000, 0.500, 0.500) and O at (0.250, 0.250, 0.315).